Record 1
Computed, not measured: Rb2MgBe2 at its PBEsol-relaxed geometry at the meta-GGA SCAN level of DFT.

E_form = 0.723 eV per atom
Symmetry = I4/mmm
Total magnetization = 0.00 μB per formula unit
DOS(E_F) = 0.522 states/eV/atom

Cell lengths 3.2357, 3.2357, 12.9022 Å; angles 97.20, 97.20, 90.00 degrees
Element x y z (fractional)
1 Rb 0.3735 0.3735 0.7470
2 Rb 0.6265 0.6265 0.2530
3 Be 0.7500 0.2500 0.5000
4 Be 0.2500 0.7500 0.5000
5 Mg 0.0000 0.0000 0.0000

---

Record 2
Computed, not measured: Ta2Ir at its PBEsol-relaxed geometry at the meta-GGA SCAN level of DFT.

E_form = 0.059 eV per atom
Symmetry = P4/mmm
Total magnetization = 0.00 μB per formula unit
DOS(E_F) = 0.778 states/eV/atom

Cell lengths 3.1639, 4.2665, 4.2665 Å; angles 90.00, 90.00, 90.00 degrees
Element x y z (fractional)
1 Ir 0.0000 0.0000 0.0000
2 Ta 0.5000 0.0000 0.5000
3 Ta 0.5000 0.5000 0.0000

---

Record 3
Computed, not measured: NbBi2SbIr at its PBEsol-relaxed geometry at the meta-GGA SCAN level of DFT.

Raw formation energy = 150.63 kJ per mole of atoms
Symmetry = P4/mmm
Total magnetization = 3.02 μB per formula unit
DOS(E_F) = 0.742 states/eV/atom

Cell lengths 4.7586, 5.6397, 5.6397 Å; angles 90.00, 90.00, 90.00 degrees
Element x y z (fractional)
1 Bi 0.0000 0.5000 0.0000
2 Bi 0.0000 0.0000 0.5000
3 Nb 0.5000 0.5000 0.5000
4 Ir 0.5000 0.0000 0.0000
5 Sb 0.0000 0.0000 0.0000

---

Record 4
Computed, not measured: TiBeC3 at its PBEsol-relaxed geometry at the meta-GGA SCAN level of DFT.

E_form = 1.629 eV per atom
Symmetry = Pm-3m
Total magnetization = 0.00 μB per formula unit
DOS(E_F) = 0.548 states/eV/atom

Cell lengths 3.4745, 3.4745, 3.4745 Å; angles 90.00, 90.00, 90.00 degrees
Element x y z (fractional)
1 Ti 0.5000 0.5000 0.5000
2 Be 0.0000 0.0000 0.0000
3 C 0.0000 0.0000 0.5000
4 C 0.0000 0.5000 0.0000
5 C 0.5000 0.0000 0.0000